# 1
Density functional theory data (PBE) for NdSm2Au after structural relaxation.

Structure (POSCAR):
```
NdSm2Au
1.0
-0.980 4.219 -2.502
-5.459 -3.427 1.352
-0.750 3.910 6.887
Sm Nd Au
4 2 2
Direct
0.358 0.715 0.967
0.358 0.715 0.533
0.642 0.285 0.467
0.642 0.285 0.033
0.951 0.902 0.250
0.049 0.098 0.750
0.204 0.407 0.250
0.796 0.593 0.750
```

Offset from the most stable computed form in eV/f.u.: 0.090
Calculated formation energy in meV per atom: -379

=====

# 2
Density functional theory data (PBE) for Nd3SmAu2 after structural relaxation.

Structure (POSCAR):
```
Nd3SmAu2
1.0
-1.706 0.902 -4.744
-2.502 -6.821 -0.396
-8.174 2.797 3.471
Au Nd Sm
4 6 2
Direct
0.000 0.262 0.652
0.500 0.238 0.156
0.500 0.738 0.844
0.000 0.762 0.348
0.000 0.348 0.336
0.000 0.993 0.074
0.000 0.493 0.926
0.500 0.152 0.835
0.000 0.848 0.664
0.500 0.652 0.165
0.500 0.507 0.574
0.500 0.007 0.426
```

Offset from the most stable computed form in eV/f.u.: 0.000
Calculated formation energy in meV per atom: -554

=====

# 3
Density functional theory data (PBE) for NdSm4Au2 after structural relaxation.

Structure (POSCAR):
```
NdSm4Au2
1.0
-0.334 2.045 4.503
2.690 -1.809 3.749
8.642 6.720 0.318
Sm Au Nd
4 2 1
Direct
0.896 0.896 0.313
0.104 0.104 0.687
0.299 0.299 0.104
0.701 0.701 0.896
0.398 0.398 0.806
0.602 0.602 0.194
0.500 0.500 0.500
```

Calculated formation energy in meV per atom: -221

=====

# 4
Density functional theory data (PBE) for Nd4Sm3Au4 after structural relaxation.

Structure (POSCAR):
```
Nd4Sm3Au4
1.0
3.871 0.000 0.000
0.000 9.306 0.000
-1.936 -4.653 8.792
Sm Au Nd
3 4 4
Direct
0.103 0.103 0.205
0.897 0.897 0.795
0.000 0.500 0.000
0.500 0.819 0.000
0.500 0.181 0.000
0.744 0.244 0.488
0.256 0.756 0.512
0.338 0.526 0.677
0.662 0.849 0.323
0.662 0.474 0.323
0.338 0.151 0.677
```

Calculated formation energy in meV per atom: -510

=====

- Which value of calculated formation energy does entry 3 give?
  -221 meV per atom

=====

- What is the calculated formation energy in the fourth record?
  -510 meV per atom

=====

- Which value of calculated formation energy does entry 2 give?
  -554 meV per atom